1.
Compound: ReTc2As
Source: Alexandria via LeMat-Bulk
Functional: PBE-GGA
Structure: relaxed

Summary:
Total energy in eV per atom: -9.4762
Space group: No. 123
V in A^3/atom: 14.6

POSCAR file:
```
ReTc2As
1.0
2.9733 0.0000 0.0000
0.0000 2.9733 0.0000
0.0000 0.0000 6.5967
Re Tc As
1 2 1
direct
0.0000 0.0000 0.0000
0.5000 0.5000 0.2624
0.5000 0.5000 0.7376
0.0000 0.0000 0.5000
```

2.
Compound: ReTcAs2
Source: Alexandria via LeMat-Bulk
Functional: PBE-GGA
Structure: relaxed

Summary:
Total energy in eV per atom: -7.9168
E above lowest polymorph in meV/atom: 105.3
Space group: No. 225
V in A^3/atom: 14.6

POSCAR file:
```
ReTcAs2
1.0
0.0000 3.0825 3.0825
3.0825 0.0000 3.0825
3.0825 3.0825 0.0000
Re Tc As
1 1 2
direct
0.0000 0.0000 0.0000
0.5000 0.5000 0.5000
0.2500 0.2500 0.2500
0.7500 0.7500 0.7500
```

3.
Compound: ReTc2As
Source: Alexandria via LeMat-Bulk
Functional: PBE-GGA
Structure: relaxed

Summary:
Total energy in eV per atom: -9.0937
Space group: No. 12
V in A^3/atom: 15.1

POSCAR file:
```
ReTc2As
1.0
2.6551 -4.2397 0.0000
2.6551 4.2397 0.0000
-0.9806 0.0000 2.6751
Re Tc As
1 2 1
direct
0.0000 0.0000 0.0000
0.0000 0.5000 0.5000
0.5000 0.0000 0.5000
0.5000 0.5000 0.0000
```